No. 1
A plane-wave DFT calculation with PBE was carried out for a geometry-optimized AgB2Pd structure.

Output
VASP energy = -69.92 eV per cell
formation enthalpy at 0 K = 94.5 kJ per mole of atoms

a b c (Å): 5.664 5.664 5.664
angles (deg): 90.00 90.00 90.00
Space group Fm-3m (No. 225)
Symmetry-distinct sites (fractional):
Ag (0.000, 0.000, 0.000) x4
B (0.250, 0.250, 0.250) x8
Pd (0.000, 0.000, 0.500) x4


No. 2
A plane-wave DFT calculation with PBE was carried out for a geometry-optimized Ag3BPd4 structure.

Output
VASP energy = -70.35 eV per cell
formation enthalpy at 0 K = 10.0 kJ per mole of atoms

a b c (Å): 5.448 7.233 7.081
angles (deg): 90.00 90.00 90.00
Space group Imm2 (No. 44)
Symmetry-distinct sites (fractional):
Ag (0.000, 0.000, 0.000) x2
Ag (0.000, 0.217, 0.655) x4
B (0.000, 0.500, 0.071) x2
Pd (0.000, 0.309, 0.270) x4
Pd (0.250, 0.000, 0.368) x4


No. 3
A plane-wave DFT calculation with PBE was carried out for a geometry-optimized AgB2Pd structure.

Output
VASP energy = -71.09 eV per cell
formation enthalpy at 0 K = 87.5 kJ per mole of atoms

a b c (Å): 5.024 5.024 9.545
angles (deg): 90.00 90.00 90.00
Space group I-42d (No. 122)
Symmetry-distinct sites (fractional):
Ag (0.000, 0.000, 0.000) x4
B (0.220, 0.250, 0.625) x8
Pd (0.000, 0.000, 0.500) x4


No. 4
A plane-wave DFT calculation with PBE was carried out for a geometry-optimized Ag2B2Pd structure.

Output
VASP energy = -42.44 eV per cell
formation enthalpy at 0 K = 58.5 kJ per mole of atoms

a b c (Å): 3.827 3.827 8.990
angles (deg): 90.00 90.00 90.00
Space group I4/mmm (No. 139)
Symmetry-distinct sites (fractional):
Ag (0.000, 0.500, 0.250) x4
B (0.000, 0.000, 0.089) x4
Pd (0.000, 0.000, 0.500) x2


No. 5
A plane-wave DFT calculation with PBE was carried out for a geometry-optimized Ag3BPd structure.

Output
VASP energy = -12.28 eV per cell
formation enthalpy at 0 K = 157.2 kJ per mole of atoms

a b c (Å): 5.078 5.078 5.078
angles (deg): 90.00 90.00 90.00
Space group Pm-3m (No. 221)
Symmetry-distinct sites (fractional):
Ag (0.000, 0.000, 0.500) x3
B (0.500, 0.500, 0.500) x1
Pd (0.000, 0.000, 0.000) x1


No. 6
A plane-wave DFT calculation with PBE was carried out for a geometry-optimized AgB4Pd12 structure.

Output
VASP energy = -189.61 eV per cell
formation enthalpy at 0 K = -16.6 kJ per mole of atoms

a b c (Å): 7.846 7.846 7.846
angles (deg): 90.00 90.00 90.00
Space group Im-3 (No. 204)
Symmetry-distinct sites (fractional):
Ag (0.000, 0.000, 0.000) x2
B (0.250, 0.250, 0.250) x8
Pd (0.000, 0.320, 0.177) x24


No. 7
A plane-wave DFT calculation with PBE was carried out for a geometry-optimized Ag3BPd structure.

Output
VASP energy = -18.25 eV per cell
formation enthalpy at 0 K = 42.0 kJ per mole of atoms

a b c (Å): 4.321 4.321 4.321
angles (deg): 90.00 90.00 90.00
Space group Pm-3m (No. 221)
Symmetry-distinct sites (fractional):
Ag (0.000, 0.000, 0.500) x3
B (0.000, 0.000, 0.000) x1
Pd (0.500, 0.500, 0.500) x1


No. 8
A plane-wave DFT calculation with PBE was carried out for a geometry-optimized Ag2BPd6 structure.

Output
VASP energy = -90.11 eV per cell
formation enthalpy at 0 K = -16.3 kJ per mole of atoms

a b c (Å): 5.800 5.800 8.116
angles (deg): 90.00 90.00 90.00
Space group I4/mmm (No. 139)
Symmetry-distinct sites (fractional):
Ag (0.000, 0.500, 0.250) x4
B (0.000, 0.000, 0.000) x2
Pd (0.000, 0.000, 0.256) x4
Pd (0.246, 0.246, 0.500) x8


No. 9
A plane-wave DFT calculation with PBE was carried out for a geometry-optimized AgBPdPt structure.

Output
VASP energy = -64.04 eV per cell
formation enthalpy at 0 K = -14.1 kJ per mole of atoms

a b c (Å): 3.1122 3.1122 20.9385
angles (deg): 90.00 90.00 120.00
Space group R3m (No. 160, hexagonal axes)
Symmetry-distinct sites (fractional):
Ag (0.0000, 0.0000, 0.0000) x3
B (0.0000, 0.0000, 0.8310) x3
Pd (0.0000, 0.0000, 0.2245) x3
Pt (0.0000, 0.0000, 0.4448) x3


No. 10
A plane-wave DFT calculation with PBE was carried out for a geometry-optimized AgBPdPt2 structure.

Output
VASP energy = -27.55 eV per cell
formation enthalpy at 0 K = -14.4 kJ per mole of atoms

a b c (Å): 4.181 4.181 4.282
angles (deg): 90.00 90.00 90.00
Space group P4/mmm (No. 123)
Symmetry-distinct sites (fractional):
Ag (0.000, 0.000, 0.000) x1
B (0.500, 0.500, 0.500) x1
Pd (0.500, 0.500, 0.000) x1
Pt (0.000, 0.500, 0.500) x2


No. 11
A plane-wave DFT calculation with PBE was carried out for a geometry-optimized Re2AgBPd structure.

Output
VASP energy = -28.53 eV per cell
formation enthalpy at 0 K = 213.9 kJ per mole of atoms

a b c (Å): 4.911 4.911 3.852
angles (deg): 90.00 90.00 90.00
Space group P4/mmm (No. 123)
Symmetry-distinct sites (fractional):
Re (0.000, 0.500, 0.000) x2
Ag (0.000, 0.000, 0.500) x1
B (0.500, 0.500, 0.500) x1
Pd (0.500, 0.500, 0.000) x1


No. 12
A plane-wave DFT calculation with PBE was carried out for a geometry-optimized AgBPdRh2 structure.

Output
VASP energy = -29.29 eV per cell
formation enthalpy at 0 K = 2.6 kJ per mole of atoms

a b c (Å): 4.123 4.123 4.212
angles (deg): 90.00 90.00 90.00
Space group P4/mmm (No. 123)
Symmetry-distinct sites (fractional):
Ag (0.000, 0.000, 0.000) x1
B (0.500, 0.500, 0.500) x1
Pd (0.500, 0.500, 0.000) x1
Rh (0.000, 0.500, 0.500) x2


> Which formula does entry 11 have?

Re2AgBPd


> What is the VASP energy in the eighth record?

-90.11 eV per cell


> Among the records above, which one has the highest formation enthalpy at 0 K?

Re2AgBPd